Record 1
First-principles (PBE) data for a geometry-optimized KZr2Mo structure, as listed in the Alexandria database.

Summary:
Electronic total energy = -6.075 eV per atom
DOS at the Fermi energy = 1.248 states/eV/atom
Total magnetic moment = 0.00 μB/cell
Offset from the most stable computed form = 3.57 eV/f.u.
Formation enthalpy at 0 K = 1181.3 meV per atom

Unit cell a=4.238 b=4.238 c=9.999 alpha=90.00 beta=90.00 gamma=90.00
Fractional coordinates of all 8 atoms:
K (0.000, 0.000, 0.000)
K (0.500, 0.500, 0.500)
Zr (0.000, 0.000, 0.500)
Zr (0.000, 0.500, 0.250)
Zr (0.500, 0.000, 0.750)
Zr (0.500, 0.500, 0.000)
Mo (0.000, 0.500, 0.750)
Mo (0.500, 0.000, 0.250)

Record 2
First-principles (PBE) data for a geometry-optimized KCrPRu2 structure, as listed in the Alexandria database.

Summary:
Electronic total energy = -5.345 eV per atom
DOS at the Fermi energy = 1.512 states/eV/atom
Total magnetic moment = 0.00 μB/cell
Formation enthalpy at 0 K = 1591.9 meV per atom

Unit cell a=4.438 b=4.438 c=5.063 alpha=90.00 beta=90.00 gamma=90.00
Fractional coordinates of all 5 atoms:
K (0.000, 0.000, 0.000)
Cr (0.000, 0.000, 0.500)
P (0.500, 0.500, 0.000)
Ru (0.000, 0.500, 0.500)
Ru (0.500, 0.000, 0.500)

Record 3
First-principles (PBE) data for a geometry-optimized ZnInTc2 structure, as listed in the Alexandria database.

Summary:
Electronic total energy = -5.827 eV per atom
DOS at the Fermi energy = 0.828 states/eV/atom
Total magnetic moment = 0.00 μB/cell
Offset from the most stable computed form = 1.17 eV/f.u.
Formation enthalpy at 0 K = 358.8 meV per atom

Unit cell a=5.457 b=8.974 c=2.780 alpha=90.00 beta=109.09 gamma=90.00
Fractional coordinates of all 8 atoms:
Zn (0.000, 0.000, 0.000)
Zn (0.500, 0.500, 0.000)
In (0.000, 0.500, 0.000)
In (0.500, 0.000, 0.000)
Tc (0.250, 0.250, 0.500)
Tc (0.250, 0.750, 0.500)
Tc (0.750, 0.250, 0.500)
Tc (0.750, 0.750, 0.500)

Record 4
First-principles (PBE) data for a geometry-optimized K4Th3PtS8 structure, as listed in the Alexandria database.

Summary:
Electronic total energy = -5.549 eV per atom
DOS at the Fermi energy = 0.501 states/eV/atom
Total magnetic moment = 0.43 μB/cell
Formation energy without anion corrections = -1.443 eV per atom

Unit cell a=8.483 b=8.483 c=8.823 alpha=118.16 beta=118.16 gamma=55.01
Fractional coordinates of all 16 atoms:
K (0.000, 0.000, 0.000)
K (0.000, 0.500, 0.000)
K (0.500, 0.000, 0.000)
K (0.500, 0.500, 0.000)
Th (0.000, 0.000, 0.500)
Th (0.000, 0.500, 0.500)
Th (0.500, 0.000, 0.500)
Pt (0.500, 0.500, 0.500)
S (0.225, 0.225, 0.708)
S (0.228, 0.228, 0.261)
S (0.244, 0.703, 0.680)
S (0.297, 0.756, 0.320)
S (0.703, 0.244, 0.680)
S (0.756, 0.297, 0.320)
S (0.772, 0.772, 0.739)
S (0.775, 0.775, 0.292)

Record 5
First-principles (PBE) data for a geometry-optimized Mn4FeH structure, as listed in the Alexandria database.

Summary:
Electronic total energy = -7.829 eV per atom
DOS at the Fermi energy = 1.086 states/eV/atom
Total magnetic moment = 0.10 μB/cell

Unit cell a=5.772 b=5.772 c=4.294 alpha=104.99 beta=104.99 gamma=109.72
Fractional coordinates of all 12 atoms:
Mn (0.060, 0.622, 0.821)
Mn (0.110, 0.243, 0.706)
Mn (0.243, 0.110, 0.206)
Mn (0.378, 0.940, 0.679)
Mn (0.622, 0.060, 0.321)
Mn (0.757, 0.890, 0.794)
Mn (0.890, 0.757, 0.294)
Mn (0.940, 0.378, 0.179)
Fe (0.425, 0.575, 0.250)
Fe (0.575, 0.425, 0.750)
H (0.073, 0.927, 0.750)
H (0.927, 0.073, 0.250)

Record 6
First-principles (PBE) data for a geometry-optimized RbMg2B structure, as listed in the Alexandria database.

Summary:
Electronic total energy = -2.419 eV per atom
DOS at the Fermi energy = 0.322 states/eV/atom
Total magnetic moment = 0.00 μB/cell
Formation enthalpy at 0 K = 289.7 meV per atom

Unit cell a=5.571 b=6.910 c=7.001 alpha=67.08 beta=66.71 gamma=66.35
Fractional coordinates of all 8 atoms:
Rb (0.183, 0.202, 0.432)
Rb (0.817, 0.798, 0.568)
Mg (0.116, 0.780, 0.986)
Mg (0.413, 0.364, 0.814)
Mg (0.587, 0.636, 0.186)
Mg (0.884, 0.220, 0.014)
B (0.357, 0.000, 0.000)
B (0.643, 0.000, 0.000)

Record 7
First-principles (PBE) data for a geometry-optimized TbPrYMg structure, as listed in the Alexandria database.

Summary:
Electronic total energy = -4.400 eV per atom
DOS at the Fermi energy = 1.429 states/eV/atom
Total magnetic moment = 0.00 μB/cell
Offset from the most stable computed form = 0.00 eV/f.u.
Formation enthalpy at 0 K = -32.6 meV per atom

Unit cell a=3.702 b=3.702 c=9.031 alpha=90.00 beta=90.00 gamma=90.00
Fractional coordinates of all 4 atoms:
Tb (0.000, 0.000, 0.000)
Pr (0.500, 0.500, 0.722)
Y (0.000, 0.000, 0.442)
Mg (0.500, 0.500, 0.222)

Record 8
First-principles (PBE) data for a geometry-optimized Sc2MoBr structure, as listed in the Alexandria database.

Summary:
Electronic total energy = -6.126 eV per atom
DOS at the Fermi energy = 1.091 states/eV/atom
Total magnetic moment = 0.01 μB/cell
Formation energy without anion corrections = 0.166 eV per atom
Offset from the most stable computed form = 2.14 eV/f.u.

Unit cell a=3.729 b=4.966 c=10.034 alpha=90.00 beta=90.00 gamma=90.00
Fractional coordinates of all 8 atoms:
Sc (0.000, 0.000, 0.000)
Sc (0.000, 0.500, 0.259)
Sc (0.500, 0.000, 0.259)
Sc (0.500, 0.500, 0.000)
Mo (0.000, 0.000, 0.459)
Mo (0.500, 0.500, 0.459)
Br (0.000, 0.500, 0.812)
Br (0.500, 0.000, 0.812)

Record 9
First-principles (PBE) data for a geometry-optimized Dy8Ho2Tm3 structure, as listed in the Alexandria database.

Summary:
Electronic total energy = -4.336 eV per atom
DOS at the Fermi energy = 1.592 states/eV/atom
Total magnetic moment = 0.00 μB/cell
Formation enthalpy at 0 K = 231.8 meV per atom

Unit cell a=10.724 b=10.724 c=5.551 alpha=90.00 beta=90.00 gamma=138.77
Fractional coordinates of all 13 atoms:
Dy (0.132, 0.868, 0.000)
Dy (0.182, 0.396, 0.500)
Dy (0.333, 0.667, 0.000)
Dy (0.396, 0.182, 0.500)
Dy (0.604, 0.818, 0.500)
Dy (0.667, 0.333, 0.000)
Dy (0.818, 0.604, 0.500)
Dy (0.868, 0.132, 0.000)
Ho (0.241, 0.759, 0.500)
Ho (0.759, 0.241, 0.500)
Tm (0.000, 0.000, 0.500)
Tm (0.284, 0.284, 0.000)
Tm (0.716, 0.716, 0.000)

Record 10
First-principles (PBE) data for a geometry-optimized FeRhW2 structure, as listed in the Alexandria database.

Summary:
Electronic total energy = -10.393 eV per atom
DOS at the Fermi energy = 0.852 states/eV/atom
Total magnetic moment = 1.44 μB/cell
Offset from the most stable computed form = 0.22 eV/f.u.
Formation enthalpy at 0 K = 37.5 meV per atom

Unit cell a=5.449 b=7.688 c=2.730 alpha=90.00 beta=90.00 gamma=90.00
Fractional coordinates of all 8 atoms:
Fe (0.000, 0.000, 0.000)
Fe (0.500, 0.500, 0.000)
Rh (0.000, 0.500, 0.000)
Rh (0.500, 0.000, 0.000)
W (0.250, 0.250, 0.500)
W (0.250, 0.750, 0.500)
W (0.750, 0.250, 0.500)
W (0.750, 0.750, 0.500)

Record 11
First-principles (PBE) data for a geometry-optimized AgSb2Os structure, as listed in the Alexandria database.

Summary:
Electronic total energy = -4.994 eV per atom
DOS at the Fermi energy = 0.892 states/eV/atom
Total magnetic moment = 0.00 μB/cell
Formation energy without anion corrections = 0.588 eV per atom
Offset from the most stable computed form = 1.08 eV/f.u.

Unit cell a=3.183 b=5.397 c=9.880 alpha=90.00 beta=90.00 gamma=90.00
Fractional coordinates of all 8 atoms:
Ag (0.000, 0.000, 0.000)
Ag (0.500, 0.500, 0.000)
Sb (0.000, 0.500, 0.277)
Sb (0.000, 0.500, 0.723)
Sb (0.500, 0.000, 0.277)
Sb (0.500, 0.000, 0.723)
Os (0.000, 0.000, 0.500)
Os (0.500, 0.500, 0.500)

Record 12
First-principles (PBE) data for a geometry-optimized CeNpTeP structure, as listed in the Alexandria database.

Summary:
Electronic total energy = -7.967 eV per atom
DOS at the Fermi energy = 3.191 states/eV/atom
Total magnetic moment = 15.59 μB/cell
Formation energy without anion corrections = -1.110 eV per atom

Unit cell a=4.193 b=4.193 c=21.194 alpha=90.00 beta=90.00 gamma=120.00
Fractional coordinates of all 12 atoms:
Ce (0.000, 0.000, 0.000)
Ce (0.333, 0.667, 0.667)
Ce (0.667, 0.333, 0.333)
Np (0.000, 0.000, 0.524)
Np (0.333, 0.667, 0.191)
Np (0.667, 0.333, 0.858)
Te (0.000, 0.000, 0.765)
Te (0.333, 0.667, 0.431)
Te (0.667, 0.333, 0.098)
P (0.000, 0.000, 0.259)
P (0.333, 0.667, 0.926)
P (0.667, 0.333, 0.593)